1.
Below is Hf4As2PC after structural relaxation, with properties calculated at the PBE level.

Output
Total magnetization ... 0.0 μB/f.u.
Calculated total energy ... -8.75 eV/atom

Lattice parameters (Å, degrees): 3.569 3.569 12.892 90.00 90.00 120.00
Fractional coordinates of all 8 atoms:
As 0.333 0.667 0.241
As 0.333 0.667 0.759
Hf 0.000 0.000 0.373
Hf 0.667 0.333 0.109
Hf 0.667 0.333 0.891
Hf 0.000 0.000 0.627
P 0.667 0.333 0.500
C 0.000 0.000 0.000

=====

2.
Below is HfSbAsC after structural relaxation, with properties calculated at the PBE level.

Output
Total magnetization ... 0.0 μB/f.u.
Calculated total energy ... -6.93 eV/atom

Lattice parameters (Å, degrees): 3.531 3.531 13.102 90.00 90.00 120.00
Fractional coordinates of all 8 atoms:
C 0.000 0.000 0.000
C 0.000 0.000 0.500
Hf 0.333 0.667 0.907
Hf 0.667 0.333 0.093
Sb 0.667 0.333 0.392
Sb 0.333 0.667 0.608
As 0.667 0.333 0.766
As 0.333 0.667 0.234

=====

3.
Below is Hf4Sc2As3C3 after structural relaxation, with properties calculated at the PBE level.

Output
Total magnetization ... 0.0 μB/f.u.
Calculated total energy ... -8.78 eV/atom

Lattice parameters (Å, degrees): 5.955 5.955 12.998 103.28 103.28 60.06
Fractional coordinates of all 24 atoms:
C 0.846 0.327 0.500
C 0.154 0.673 0.500
C 0.327 0.846 0.000
C 0.673 0.154 0.000
C 0.000 0.500 0.000
C 0.500 0.000 0.500
Hf 0.137 0.301 0.402
Hf 0.030 0.202 0.098
Hf 0.798 0.970 0.402
Hf 0.699 0.863 0.098
Hf 0.970 0.798 0.902
Hf 0.202 0.030 0.598
Hf 0.863 0.699 0.598
Hf 0.301 0.137 0.902
As 0.416 0.251 0.249
As 0.251 0.416 0.749
As 0.749 0.584 0.251
As 0.916 0.084 0.750
As 0.084 0.916 0.250
As 0.584 0.749 0.751
Sc 0.466 0.631 0.399
Sc 0.631 0.466 0.899
Sc 0.534 0.369 0.601
Sc 0.369 0.534 0.101

=====

4.
Below is HfScAsC after structural relaxation, with properties calculated at the PBE level.

Output
Total magnetization ... 0.0 μB/f.u.
Calculated total energy ... -8.44 eV/atom

Lattice parameters (Å, degrees): 3.437 3.437 12.653 90.00 90.00 120.00
Fractional coordinates of all 8 atoms:
Sc 0.333 0.667 0.097
Sc 0.667 0.333 0.903
C 0.000 0.000 0.500
C 0.000 0.000 0.000
Hf 0.333 0.667 0.401
Hf 0.667 0.333 0.599
As 0.667 0.333 0.253
As 0.333 0.667 0.747

=====

5.
Below is Hf4Ta2As3C3 after structural relaxation, with properties calculated at the PBE level.

Output
Total magnetization ... 0.0 μB/f.u.
Calculated total energy ... -9.64 eV/atom

Lattice parameters (Å, degrees): 5.868 5.868 12.772 103.27 103.27 60.04
Fractional coordinates of all 24 atoms:
C 0.335 0.830 0.000
C 0.000 0.500 0.000
C 0.665 0.170 0.000
C 0.500 0.000 0.500
C 0.170 0.665 0.500
C 0.830 0.335 0.500
As 0.416 0.262 0.250
As 0.262 0.416 0.750
As 0.738 0.584 0.250
As 0.906 0.094 0.750
As 0.584 0.738 0.750
As 0.094 0.906 0.250
Hf 0.700 0.869 0.100
Hf 0.869 0.700 0.600
Hf 0.802 0.964 0.400
Hf 0.300 0.131 0.900
Hf 0.131 0.300 0.400
Hf 0.036 0.198 0.100
Hf 0.964 0.802 0.900
Hf 0.198 0.036 0.600
Ta 0.639 0.469 0.908
Ta 0.469 0.639 0.408
Ta 0.361 0.531 0.092
Ta 0.531 0.361 0.592

=====

6.
Below is HfTa3As2C2 after structural relaxation, with properties calculated at the PBE level.

Output
Total magnetization ... 0.0 μB/f.u.
Calculated total energy ... -9.87 eV/atom

Lattice parameters (Å, degrees): 3.348 3.348 12.101 90.00 90.00 120.00
Fractional coordinates of all 8 atoms:
Ta 0.000 0.000 0.408
Ta 0.667 0.333 0.901
Ta 0.667 0.333 0.594
C 0.333 0.667 0.501
C 0.333 0.667 0.995
As 0.000 0.000 0.748
As 0.667 0.333 0.257
Hf 0.000 0.000 0.096